Computed, not measured: a relaxed PmErGa crystal at the GGA-PBE level of DFT.

Results
For the magnetization, the calculation gives 0.7 μB per formula unit. The calculation puts the formation energy at -410 meV per atom. Its final energy is -13.6 eV/f.u. Its space group is P2_1/m (11). The calculation puts the density of states at the Fermi level at 1.1111 states/eV per atom. As for the energy above the most stable polymorph in this dataset: 0.0 kJ/mol of atoms.

a b c (Å): 4.5390 7.9971 13.4719
angles (deg): 89.35 90.00 90.00
Closest atoms and distances in Å follow each position.
Sites, in units of the cell vectors:
Pm1 0.7500 0.5267 0.3870  5 Ga 3.27-3.31, 4 Er 3.53-3.58
Pm2 0.2500 0.9764 0.7147  5 Ga 3.20-3.35, 4 Er 3.47-3.48
Pm3 0.7500 0.0236 0.2853  5 Ga 3.20-3.35, 4 Er 3.47-3.48
Pm4 0.7500 0.6398 0.0808  5 Ga 3.17-3.31, 2 Er 3.54
Pm5 0.2500 0.4733 0.6130  5 Ga 3.27-3.31, 4 Er 3.53-3.58
Pm6 0.2500 0.3602 0.9192  5 Ga 3.17-3.31, 2 Er 3.54
Er1 0.2500 0.9792 0.0921  4 Ga 2.94-3.10
Er2 0.2500 0.8533 0.4531  4 Ga 2.93-3.07
Er3 0.7500 0.6357 0.7877  4 Ga 2.93-3.01
Er4 0.7500 0.1467 0.5469  4 Ga 2.93-3.07
Er5 0.2500 0.3643 0.2123  4 Ga 2.93-3.01
Er6 0.7500 0.0208 0.9079  4 Ga 2.94-3.10
Ga1 0.2500 0.7565 0.9150  5 Er 2.99-3.10, 4 Pm 3.17-3.31
Ga2 0.7500 0.2764 0.7497  3 Er 2.93-2.94
Ga3 0.7500 0.7672 0.5819  4 Er 2.93-3.07, 1 Pm 3.27
Ga4 0.7500 0.2435 0.0850  5 Er 2.99-3.10, 4 Pm 3.17-3.31
Ga5 0.2500 0.2328 0.4181  4 Er 2.93-3.07, 1 Pm 3.27
Ga6 0.2500 0.7236 0.2503  3 Er 2.93-2.94